[1]
## LiY2PuN4 (PBE)

Data for a geometry-optimized LiY2PuN4 structure.

Results
**Symmetry**: P2/m, No. 10
**Theoretical density**: 7.199 g/cm3
**DOS(E_F)**: 5.035 states/eV/f.u.
**Formation energy (no corrections)**: -1.200 eV per atom

```
LiY2PuN4
1.0
5.763 0.000 0.000
0.000 3.507 0.000
-1.615 0.000 5.533
Li Y Pu N
1 2 1 4
direct
0.000 0.000 0.000
0.000 0.500 0.500
0.500 0.000 0.500
0.500 0.500 0.000
0.248 0.000 0.750
0.294 0.500 0.240
0.706 0.500 0.760
0.752 0.000 0.250
```

[2]
## LiTc3Sn (PBE)

Data for a geometry-optimized LiTc3Sn structure.

Results
**Symmetry**: Pm-3m, No. 221
**E above lowest polymorph**: 941 meV/atom
**Theoretical density**: 5.400 g/cm3
**DOS(E_F)**: 3.340 states/eV/f.u.
**Calculated formation energy**: 1.985 eV/atom

```
LiTc3Sn
1.0
5.053 0.000 0.000
0.000 5.053 0.000
0.000 0.000 5.053
Li Tc Sn
1 3 1
direct
0.000 0.000 0.000
0.000 0.500 0.500
0.500 0.000 0.500
0.500 0.500 0.000
0.500 0.500 0.500
```

[3]
## YScMo2 (PBE)

Data for a geometry-optimized YScMo2 structure.

Results
**Symmetry**: R-3m, No. 166
**E above lowest polymorph**: 516 meV/atom
**Theoretical density**: 6.776 g/cm3
**DOS(E_F)**: 5.701 states/eV/f.u.
**Calculated formation energy**: 0.578 eV/atom

```
YScMo2
1.0
1.526 0.881 9.899
-1.526 0.881 9.899
0.000 -1.762 9.899
Y Sc Mo
1 1 2
direct
0.000 0.000 0.000
0.500 0.500 0.500
0.246 0.246 0.246
0.754 0.754 0.754
```

[4]
## BeCr2Ir (PBE)

Data for a geometry-optimized BeCr2Ir structure.

Results
**Symmetry**: C2/m, No. 12
**Theoretical density**: 10.675 g/cm3
**DOS(E_F)**: 3.866 states/eV/f.u.
**Calculated formation energy**: -0.024 eV/atom

```
BeCr2Ir
1.0
2.328 -4.009 0.000
2.328 4.009 0.000
-0.477 0.000 2.543
Be Cr Ir
1 2 1
direct
0.000 0.000 0.000
0.000 0.500 0.500
0.500 0.000 0.500
0.500 0.500 0.000
```

[5]
## AcPrIr2 (PBE)

Data for a geometry-optimized AcPrIr2 structure.

Results
**Symmetry**: P4/mmm, No. 123
**E above lowest polymorph**: 137 meV/atom
**Theoretical density**: 12.911 g/cm3
**DOS(E_F)**: 2.827 states/eV/f.u.
**Calculated formation energy**: -0.438 eV/atom

```
AcPrIr2
1.0
3.605 0.000 0.000
0.000 3.605 0.000
0.000 0.000 7.447
Ac Pr Ir
1 1 2
direct
0.000 0.000 0.000
0.000 0.000 0.500
0.500 0.500 0.264
0.500 0.500 0.736
```

[6]
## P2RuSeN (PBE)

Data for a geometry-optimized P2RuSeN structure.

Results
**Symmetry**: P1, No. 1
**E above lowest polymorph**: 284 meV/atom
**Theoretical density**: 4.671 g/cm3
**DOS(E_F)**: 2.496 states/eV/f.u.
**Formation energy (no corrections)**: 0.219 eV per atom

```
P2RuSeN
1.0
3.724 0.000 0.000
1.230 3.864 0.000
1.337 0.408 6.324
P Ru Se N
2 1 1 1
direct
0.000 0.000 0.000
0.350 0.250 0.156
0.748 0.279 0.364
0.390 0.846 0.545
0.029 0.595 0.082
```

| no. | total magnetization (μB per atom) | final energy (eV per atom) |
| --- | --- | --- |
| 1 | 0.375 | -9.009 |
| 2 | 1.553 | -5.418 |
| 3 | 0.000 | -8.036 |
| 4 | 0.001 | -7.982 |
| 5 | 0.067 | -7.091 |
| 6 | 0.000 | -6.162 |